(1)
First-principles (PBE) data for a geometry-optimized CuAg structure, as listed in the Open Quantum Materials Database.

Properties
energy: -3.20 eV per atom
space group: Cm
ΔE_f: 0.1 eV per formula unit

Unit cell a=7.587 b=7.587 c=7.287 alpha=104.19 beta=104.19 gamma=21.57
Element x y z (fractional)
Ag (0.601, 0.601, 0.263)
Ag (0.805, 0.805, 0.396)
Ag (0.998, 0.998, 0.499)
Ag (0.201, 0.201, 0.615)
Ag (0.595, 0.595, 0.836)
Cu (0.218, 0.218, 0.091)
Cu (0.400, 0.400, 0.183)
Cu (0.395, 0.395, 0.716)
Cu (0.806, 0.806, 0.910)
Cu (0.981, 0.981, 0.992)

(2)
First-principles (PBE) data for a geometry-optimized CuAg structure, as listed in the Open Quantum Materials Database.

Properties
energy: -3.18 eV per atom
space group: Cm
ΔE_f: 0.2 eV per formula unit

Unit cell a=5.762 b=5.762 c=9.473 alpha=97.13 beta=97.13 gamma=28.63
Element x y z (fractional)
Ag (0.689, 0.689, 0.085)
Ag (0.400, 0.400, 0.197)
Ag (0.111, 0.111, 0.313)
Ag (0.192, 0.192, 0.608)
Ag (0.911, 0.911, 0.701)
Cu (0.812, 0.812, 0.411)
Cu (0.493, 0.493, 0.493)
Cu (0.605, 0.605, 0.814)
Cu (0.300, 0.300, 0.895)
Cu (0.987, 0.987, 0.984)

(3)
First-principles (PBE) data for a geometry-optimized Cu3Ag5 structure, as listed in the Open Quantum Materials Database.

Properties
energy above the most stable polymorph in this dataset: 1.27 kcal/mol of atoms
energy: -3.07 eV per atom
space group: P2/m
ΔE_f: 0.7 eV per formula unit

Unit cell a=5.705 b=2.859 c=8.216 alpha=90.00 beta=110.09 gamma=90.00
Element x y z (fractional)
Ag (0.500, 0.500, 0.000)
Ag (0.888, 0.000, 0.243)
Ag (0.734, 0.500, 0.492)
Ag (0.266, 0.500, 0.508)
Ag (0.112, 0.000, 0.757)
Cu (0.000, 0.500, 0.000)
Cu (0.359, 0.000, 0.236)
Cu (0.641, 0.000, 0.764)

(4)
First-principles (PBE) data for a geometry-optimized CuAg structure, as listed in the Open Quantum Materials Database.

Properties
energy: -3.18 eV per atom
space group: Pm
ΔE_f: 0.2 eV per formula unit

Unit cell a=6.151 b=3.896 c=6.251 alpha=90.00 beta=90.63 gamma=90.00
Element x y z (fractional)
Ag (0.296, 0.000, 0.104)
Ag (0.194, 0.500, 0.393)
Ag (0.091, 0.000, 0.694)
Ag (0.407, 0.500, 0.795)
Ag (0.708, 0.000, 0.909)
Cu (0.988, 0.500, 0.006)
Cu (0.616, 0.500, 0.219)
Cu (0.884, 0.000, 0.302)
Cu (0.523, 0.000, 0.492)
Cu (0.792, 0.500, 0.585)